U2InRh8 | Alexandria | PBE | optimized geometry; calculated density = 12.71 g/cm³; D(E_F) = 7.41 states/eV/cell; energy of formation = -4.5 eV/f.u.; total DFT energy (no corrections) = -8.06 eV/atom
1.0
6.5479 -2.3358 0.0000
6.5479 2.3358 0.0000
-3.8152 0.0000 6.0404
U In Rh
2 1 8
Direct
0.1808 0.1808 0.1481
0.8192 0.8192 0.8519
0.5000 0.5000 0.5000
0.0583 0.0583 0.3198
0.1712 0.1712 0.7858
0.3174 0.3174 0.5956
0.4210 0.4210 0.0689
0.5790 0.5790 0.9311
0.6826 0.6826 0.4044
0.8288 0.8288 0.2142
0.9417 0.9417 0.6802

***

UInRh2 | Alexandria | PBE | optimized geometry; calculated density = 12.79 g/cm³; D(E_F) = 3.23 states/eV/cell; energy of formation = -1.7 eV/f.u.; total DFT energy (no corrections) = -7.60 eV/atom
1.0
3.1408 0.0000 0.0000
0.0000 3.1408 0.0000
0.0000 0.0000 7.3507
U In Rh
1 1 2
Direct
0.0000 0.0000 0.0000
0.0000 0.0000 0.5000
0.5000 0.5000 0.2550
0.5000 0.5000 0.7450

***

UInRh4 | Alexandria | PBE | optimized geometry; energy above the most stable polymorph in this dataset = 124 meV/atom; calculated density = 12.30 g/cm³; D(E_F) = 6.64 states/eV/cell; energy of formation = -2.2 eV/f.u.; total DFT energy (no corrections) = -7.61 eV/atom
1.0
0.0000 3.7234 3.7234
3.7234 0.0000 3.7234
3.7234 3.7234 0.0000
U In Rh
1 1 4
Direct
0.0000 0.0000 0.0000
0.2500 0.2500 0.2500
0.1277 0.6241 0.6241
0.6241 0.1277 0.6241
0.6241 0.6241 0.1277
0.6241 0.6241 0.6241

***

U2In8Rh | Alexandria | PBE | optimized geometry; calculated density = 9.45 g/cm³; D(E_F) = 12.97 states/eV/cell; energy of formation = -1.3 eV/f.u.; total DFT energy (no corrections) = -4.83 eV/atom
1.0
4.6550 0.0000 0.0000
0.0000 4.6550 0.0000
0.0000 0.0000 12.1472
U In Rh
2 8 1
Direct
0.0000 0.0000 0.1909
0.0000 0.0000 0.8091
0.0000 0.5000 0.0000
0.0000 0.5000 0.3762
0.0000 0.5000 0.6238
0.5000 0.0000 0.0000
0.5000 0.0000 0.3762
0.5000 0.0000 0.6238
0.5000 0.5000 0.1901
0.5000 0.5000 0.8099
0.0000 0.0000 0.5000

***

UInRh2 | Alexandria | PBE | optimized geometry; calculated density = 11.35 g/cm³; D(E_F) = 14.92 states/eV/cell; energy of formation = -1.3 eV/f.u.; total DFT energy (no corrections) = -7.50 eV/atom
1.0
3.7139 0.0000 0.0000
-1.8569 3.2163 0.0000
0.0000 0.0000 20.5199
U In Rh
3 3 6
Direct
0.0000 0.0000 0.0000
0.3333 0.6667 0.6667
0.6667 0.3333 0.3333
0.0000 0.0000 0.8312
0.3333 0.6667 0.4979
0.6667 0.3333 0.1646
0.0000 0.0000 0.4113
0.0000 0.0000 0.5875
0.3333 0.6667 0.0780
0.3333 0.6667 0.2541
0.6667 0.3333 0.7447
0.6667 0.3333 0.9208

***

UInRh3 | Alexandria | PBE | optimized geometry; calculated density = 11.96 g/cm³; D(E_F) = 13.23 states/eV/cell; energy of formation = -2.4 eV/f.u.; total DFT energy (no corrections) = -7.70 eV/atom
1.0
4.5808 0.0000 0.0000
0.0000 5.6975 0.0000
0.0000 0.0000 7.0379
U In Rh
2 2 6
Direct
0.2500 0.2500 0.0583
0.7500 0.7500 0.9417
0.2500 0.7500 0.3658
0.7500 0.2500 0.6342
0.2500 0.2500 0.4062
0.2500 0.5095 0.7668
0.2500 0.9905 0.7668
0.7500 0.0095 0.2332
0.7500 0.4905 0.2332
0.7500 0.7500 0.5938

***

U4InRh12 | Alexandria | PBE | optimized geometry; calculated density = 13.14 g/cm³; D(E_F) = 21.72 states/eV/cell; energy of formation = -7.2 eV/f.u.; total DFT energy (no corrections) = -8.43 eV/atom
1.0
-4.1740 4.1740 4.1740
4.1740 -4.1740 4.1740
4.1740 4.1740 -4.1740
U In Rh
4 1 12
Direct
0.0000 0.0000 0.5000
0.0000 0.5000 0.0000
0.5000 0.0000 0.0000
0.5000 0.5000 0.5000
0.0000 0.0000 0.0000
0.0000 0.3003 0.3003
0.0000 0.6997 0.6997
0.2500 0.5000 0.7500
0.2500 0.7500 0.5000
0.3003 0.0000 0.3003
0.3003 0.3003 0.0000
0.5000 0.2500 0.7500
0.5000 0.7500 0.2500
0.6997 0.0000 0.6997
0.6997 0.6997 0.0000
0.7500 0.2500 0.5000
0.7500 0.5000 0.2500

***

UZnInRh | Alexandria | PBE | optimized geometry; calculated density = 11.16 g/cm³; D(E_F) = 35.25 states/eV/cell; energy of formation = -0.5 eV/f.u.; total DFT energy (no corrections) = -5.78 eV/atom
1.0
6.7683 0.0000 0.0000
0.0000 6.7683 0.0000
0.0000 0.0000 6.7683
U Zn In Rh
4 4 4 4
Direct
0.0000 0.0000 0.0000
0.0000 0.5000 0.5000
0.5000 0.0000 0.5000
0.5000 0.5000 0.0000
0.2500 0.2500 0.7500
0.2500 0.7500 0.2500
0.7500 0.2500 0.2500
0.7500 0.7500 0.7500
0.0000 0.0000 0.5000
0.0000 0.5000 0.0000
0.5000 0.0000 0.0000
0.5000 0.5000 0.5000
0.2500 0.2500 0.2500
0.2500 0.7500 0.7500
0.7500 0.2500 0.7500
0.7500 0.7500 0.2500

***

VIn3Rh | Alexandria | PBE | optimized geometry; energy above the most stable polymorph in this dataset = 562 meV/atom; calculated density = 6.39 g/cm³; D(E_F) = 4.44 states/eV/cell; energy of formation = 5.0 eV/f.u.; total DFT energy (no corrections) = -3.93 eV/atom
1.0
5.0583 0.0000 0.0000
0.0000 5.0583 0.0000
0.0000 0.0000 5.0583
V In Rh
1 3 1
Direct
0.0000 0.0000 0.0000
0.0000 0.0000 0.5000
0.0000 0.5000 0.0000
0.5000 0.0000 0.0000
0.5000 0.5000 0.5000

***

VIn2Rh | Alexandria | PBE | optimized geometry; calculated density = 9.07 g/cm³; D(E_F) = 8.01 states/eV/cell; energy of formation = -0.3 eV/f.u.; total DFT energy (no corrections) = -5.56 eV/atom
1.0
6.5475 0.0000 0.0000
0.0000 6.5475 0.0000
0.0000 0.0000 6.5475
V In Rh
4 8 4
Direct
0.0000 0.0000 0.0000
0.0000 0.5000 0.5000
0.5000 0.0000 0.5000
0.5000 0.5000 0.0000
0.2500 0.2500 0.2500
0.2500 0.2500 0.7500
0.2500 0.7500 0.2500
0.2500 0.7500 0.7500
0.7500 0.2500 0.2500
0.7500 0.2500 0.7500
0.7500 0.7500 0.2500
0.7500 0.7500 0.7500
0.0000 0.0000 0.5000
0.0000 0.5000 0.0000
0.5000 0.0000 0.0000
0.5000 0.5000 0.5000

***

VIn3Rh | Alexandria | PBE | optimized geometry; energy above the most stable polymorph in this dataset = 0 meV/atom; calculated density = 6.32 g/cm³; D(E_F) = 5.14 states/eV/cell; energy of formation = 2.2 eV/f.u.; total DFT energy (no corrections) = -4.50 eV/atom
1.0
5.0768 0.0000 0.0000
0.0000 5.0768 0.0000
0.0000 0.0000 5.0768
V In Rh
1 3 1
Direct
0.0000 0.0000 0.0000
0.0000 0.5000 0.5000
0.5000 0.0000 0.5000
0.5000 0.5000 0.0000
0.5000 0.5000 0.5000

***

VIn2Rh2 | Alexandria | PBE | optimized geometry; calculated density = 9.16 g/cm³; D(E_F) = 6.97 states/eV/cell; energy of formation = -0.8 eV/f.u.; total DFT energy (no corrections) = -6.01 eV/atom
1.0
6.4920 0.0000 0.0000
0.0000 6.4920 0.0000
0.0000 0.0000 4.1863
V In Rh
2 4 4
Direct
0.0000 0.0000 0.0000
0.5000 0.5000 0.0000
0.1674 0.3326 0.5000
0.3326 0.8326 0.5000
0.6674 0.1674 0.5000
0.8326 0.6674 0.5000
0.1442 0.6442 0.0000
0.3558 0.1442 0.0000
0.6442 0.8558 0.0000
0.8558 0.3558 0.0000

***

V4InRh5 | Alexandria | PBE | optimized geometry; calculated density = 9.62 g/cm³; D(E_F) = 10.46 states/eV/cell; energy of formation = -3.6 eV/f.u.; total DFT energy (no corrections) = -7.95 eV/atom
1.0
2.8052 0.0000 0.0000
0.0000 2.8052 0.0000
0.0000 0.0000 18.2708
V In Rh
4 1 5
Direct
0.0000 0.0000 0.0980
0.0000 0.0000 0.2935
0.0000 0.0000 0.7065
0.0000 0.0000 0.9020
0.0000 0.0000 0.5000
0.5000 0.5000 0.0000
0.5000 0.5000 0.1951
0.5000 0.5000 0.3859
0.5000 0.5000 0.6141
0.5000 0.5000 0.8049

***

VIn2Rh | Alexandria | PBE | optimized geometry; calculated density = 7.97 g/cm³; D(E_F) = 21.20 states/eV/cell; energy of formation = 1.5 eV/f.u.; total DFT energy (no corrections) = -5.11 eV/atom
1.0
7.5459 0.0000 0.0000
0.0000 7.5459 0.0000
0.0000 0.0000 5.6124
V In Rh
4 8 4
Direct
0.0000 0.0000 0.0000
0.0000 0.5000 0.2500
0.5000 0.0000 0.7500
0.5000 0.5000 0.5000
0.2302 0.2500 0.6250
0.2500 0.7302 0.8750
0.2500 0.7698 0.3750
0.2698 0.2500 0.1250
0.7302 0.7500 0.1250
0.7500 0.2302 0.3750
0.7500 0.2698 0.8750
0.7698 0.7500 0.6250
0.0000 0.0000 0.5000
0.0000 0.5000 0.7500
0.5000 0.0000 0.2500
0.5000 0.5000 0.0000

***

VZnInRh | Alexandria | PBE | optimized geometry; calculated density = 8.68 g/cm³; D(E_F) = 26.81 states/eV/cell; energy of formation = -0.2 eV/f.u.; total DFT energy (no corrections) = -5.18 eV/atom
1.0
6.3468 0.0000 0.0000
0.0000 6.3468 0.0000
0.0000 0.0000 6.3468
V Zn In Rh
4 4 4 4
Direct
0.0000 0.0000 0.0000
0.0000 0.5000 0.5000
0.5000 0.0000 0.5000
0.5000 0.5000 0.0000
0.2500 0.2500 0.7500
0.2500 0.7500 0.2500
0.7500 0.2500 0.2500
0.7500 0.7500 0.7500
0.2500 0.2500 0.2500
0.2500 0.7500 0.7500
0.7500 0.2500 0.7500
0.7500 0.7500 0.2500
0.0000 0.0000 0.5000
0.0000 0.5000 0.0000
0.5000 0.0000 0.0000
0.5000 0.5000 0.5000

***

ZrVInRh | Alexandria | PBE | optimized geometry; calculated density = 8.43 g/cm³; D(E_F) = 0.79 states/eV/cell; energy of formation = -1.5 eV/f.u.; total DFT energy (no corrections) = -7.31 eV/atom
1.0
6.5699 0.0000 0.0000
0.0000 6.5699 0.0000
0.0000 0.0000 6.5699
Zr V In Rh
4 4 4 4
Direct
0.0000 0.0000 0.0000
0.0000 0.5000 0.5000
0.5000 0.0000 0.5000
0.5000 0.5000 0.0000
0.2500 0.2500 0.7500
0.2500 0.7500 0.2500
0.7500 0.2500 0.2500
0.7500 0.7500 0.7500
0.0000 0.0000 0.5000
0.0000 0.5000 0.0000
0.5000 0.0000 0.0000
0.5000 0.5000 0.5000
0.2500 0.2500 0.2500
0.2500 0.7500 0.7500
0.7500 0.2500 0.7500
0.7500 0.7500 0.2500

***

InRh2W | Alexandria | PBE | optimized geometry; calculated density = 12.98 g/cm³; D(E_F) = 19.71 states/eV/cell; energy of formation = 1.1 eV/f.u.; total DFT energy (no corrections) = -7.33 eV/atom
1.0
6.3679 0.0000 0.0000
0.0000 6.3679 0.0000
0.0000 0.0000 6.3679
In Rh W
4 8 4
Direct
0.0000 0.0000 0.0000
0.0000 0.5000 0.5000
0.5000 0.0000 0.5000
0.5000 0.5000 0.0000
0.0000 0.0000 0.5000
0.0000 0.5000 0.0000
0.2500 0.2500 0.2500
0.2500 0.7500 0.7500
0.5000 0.0000 0.0000
0.5000 0.5000 0.5000
0.7500 0.2500 0.7500
0.7500 0.7500 0.2500
0.2500 0.2500 0.7500
0.2500 0.7500 0.2500
0.7500 0.2500 0.2500
0.7500 0.7500 0.7500

***

InRh2W | Alexandria | PBE | optimized geometry; calculated density = 13.01 g/cm³; D(E_F) = 2.29 states/eV/cell; energy of formation = -0.6 eV/f.u.; total DFT energy (no corrections) = -7.76 eV/atom
1.0
2.8858 0.0000 0.0000
0.0000 3.7664 0.0000
0.0000 0.0000 5.9234
In Rh W
1 2 1
Direct
0.0000 0.0000 0.0000
0.5000 0.5000 0.2712
0.5000 0.5000 0.7288
0.0000 0.0000 0.5000

***

In2RhW | Alexandria | PBE | optimized geometry; energy above the most stable polymorph in this dataset = 141 meV/atom; calculated density = 11.91 g/cm³; D(E_F) = 5.71 states/eV/cell; energy of formation = 1.1 eV/f.u.; total DFT energy (no corrections) = -6.18 eV/atom
1.0
3.0181 0.0000 0.0000
-1.5091 2.6138 0.0000
0.0000 0.0000 27.3734
In Rh W
6 3 3
Direct
0.0000 0.0000 0.2456
0.0000 0.0000 0.7544
0.3333 0.6667 0.4210
0.3333 0.6667 0.9123
0.6667 0.3333 0.0877
0.6667 0.3333 0.5790
0.0000 0.0000 0.5000
0.3333 0.6667 0.1667
0.6667 0.3333 0.8333
0.0000 0.0000 0.0000
0.3333 0.6667 0.6667
0.6667 0.3333 0.3333

***

InRh2W | Alexandria | PBE | optimized geometry; calculated density = 12.94 g/cm³; D(E_F) = 6.97 states/eV/cell; energy of formation = 0.1 eV/f.u.; total DFT energy (no corrections) = -7.57 eV/atom
1.0
8.9923 0.0000 0.0000
0.0000 2.8540 0.0000
-0.7829 0.0000 5.0436
In Rh W
2 4 2
Direct
0.0000 0.0000 0.0000
0.5000 0.5000 0.0000
0.2479 0.0000 0.7310
0.2521 0.5000 0.2690
0.7479 0.5000 0.7310
0.7521 0.0000 0.2690
0.0000 0.5000 0.5000
0.5000 0.0000 0.5000

***

InRh2W | Alexandria | PBE | optimized geometry; calculated density = 11.41 g/cm³; D(E_F) = 17.46 states/eV/cell; energy of formation = 1.5 eV/f.u.; total DFT energy (no corrections) = -7.22 eV/atom
1.0
7.1906 0.0000 0.0000
0.0000 7.1906 0.0000
0.0000 0.0000 5.6809
In Rh W
4 8 4
Direct
0.0000 0.0000 0.0000
0.0000 0.5000 0.2500
0.5000 0.0000 0.7500
0.5000 0.5000 0.5000
0.2088 0.7500 0.6250
0.2500 0.2088 0.3750
0.2500 0.2912 0.8750
0.2912 0.7500 0.1250
0.7088 0.2500 0.1250
0.7500 0.7088 0.8750
0.7500 0.7912 0.3750
0.7912 0.2500 0.6250
0.0000 0.0000 0.5000
0.0000 0.5000 0.7500
0.5000 0.0000 0.2500
0.5000 0.5000 0.0000

***

InRh3W | Alexandria | PBE | optimized geometry; energy above the most stable polymorph in this dataset = 967 meV/atom; calculated density = 9.56 g/cm³; D(E_F) = 3.69 states/eV/cell; energy of formation = 9.3 eV/f.u.; total DFT energy (no corrections) = -5.69 eV/atom
1.0
4.7251 0.0000 0.0000
0.0000 4.7251 0.0000
0.0000 0.0000 4.7251
In Rh W
1 3 1
Direct
0.0000 0.0000 0.0000
0.0000 0.0000 0.5000
0.0000 0.5000 0.0000
0.5000 0.0000 0.0000
0.5000 0.5000 0.5000

***

InRh2W | Alexandria | PBE | optimized geometry; calculated density = 12.90 g/cm³; D(E_F) = 4.34 states/eV/cell; energy of formation = 0.4 eV/f.u.; total DFT energy (no corrections) = -7.50 eV/atom
1.0
2.9000 0.0000 0.0000
0.0000 2.9000 0.0000
0.0000 0.0000 7.7193
In Rh W
1 2 1
Direct
0.0000 0.0000 0.0000
0.0000 0.0000 0.4937
0.5000 0.5000 0.2420
0.5000 0.5000 0.7128

***

InRhW2 | Alexandria | PBE | optimized geometry; calculated density = 14.47 g/cm³; D(E_F) = 4.66 states/eV/cell; energy of formation = 2.7 eV/f.u.; total DFT energy (no corrections) = -8.34 eV/atom
1.0
4.8713 0.0000 0.0000
0.0000 4.8713 0.0000
0.0000 0.0000 2.8308
In Rh W
1 1 2
Direct
0.0000 0.0000 0.0000
0.5000 0.5000 0.0000
0.0000 0.5000 0.5000
0.5000 0.0000 0.5000

***

In2RhW | Alexandria | PBE | optimized geometry; energy above the most stable polymorph in this dataset = 110 meV/atom; calculated density = 12.06 g/cm³; D(E_F) = 2.73 states/eV/cell; energy of formation = 0.9 eV/f.u.; total DFT energy (no corrections) = -6.21 eV/atom
1.0
2.9461 0.0000 0.0000
0.0000 2.9461 0.0000
0.0000 0.0000 8.1916
In Rh W
2 1 1
Direct
0.0000 0.0000 0.2291
0.0000 0.0000 0.7709
0.5000 0.5000 0.0000
0.5000 0.5000 0.5000

***

In2RhW | Alexandria | PBE | optimized geometry; energy above the most stable polymorph in this dataset = 628 meV/atom; calculated density = 10.91 g/cm³; D(E_F) = 18.31 states/eV/cell; energy of formation = 3.0 eV/f.u.; total DFT energy (no corrections) = -5.69 eV/atom
1.0
7.4898 0.0000 0.0000
0.0000 7.4898 0.0000
0.0000 0.0000 5.6062
In Rh W
8 4 4
Direct
0.2304 0.2500 0.1250
0.2500 0.7304 0.3750
0.2500 0.7696 0.8750
0.2696 0.2500 0.6250
0.7304 0.7500 0.6250
0.7500 0.2304 0.8750
0.7500 0.2696 0.3750
0.7696 0.7500 0.1250
0.0000 0.0000 0.0000
0.0000 0.5000 0.2500
0.5000 0.0000 0.7500
0.5000 0.5000 0.5000
0.0000 0.0000 0.5000
0.0000 0.5000 0.7500
0.5000 0.0000 0.2500
0.5000 0.5000 0.0000

***

In2RhW | Alexandria | PBE | optimized geometry; energy above the most stable polymorph in this dataset = 290 meV/atom; calculated density = 11.90 g/cm³; D(E_F) = 9.08 states/eV/cell; energy of formation = 1.7 eV/f.u.; total DFT energy (no corrections) = -6.03 eV/atom
1.0
4.0560 0.0000 0.0000
0.0000 4.0560 0.0000
0.0000 0.0000 8.7608
In Rh W
4 2 2
Direct
0.0000 0.0000 0.0000
0.0000 0.5000 0.2500
0.5000 0.0000 0.7500
0.5000 0.5000 0.5000
0.0000 0.5000 0.7500
0.5000 0.0000 0.2500
0.0000 0.0000 0.5000
0.5000 0.5000 0.0000

***

no.,volume (Å³ per cell)
1,185
2,73
3,103
4,263
5,245
6,184
7,291
8,310
9,129
10,281
11,131
12,176
13,144
14,320
15,256
16,284
17,258
18,64
19,216
20,129
21,294
22,105
23,65
24,67
25,71
26,314
27,144